Here is a crystal of MnIn2Ir relaxed with PBEsol from the Alexandria database. Energies are from SCAN.

The structure in CIF format:
```
data_MnIn2Ir
_symmetry_space_group_name_H-M 'F -4 3 m'
_symmetry_Int_Tables_number 216
_symmetry_space_group_name_Hall 'F -4 2 3'
_cell_length_a 6.4633
_cell_length_b 6.4633
_cell_length_c 6.4633
_cell_angle_alpha 90.00
_cell_angle_beta 90.00
_cell_angle_gamma 90.00
loop_
_atom_site_label
_atom_site_fract_x
_atom_site_fract_y
_atom_site_fract_z
_atom_site_occupancy
Mn1 0.0000 0.0000 0.0000 1
In1 0.0000 0.0000 0.5000 1
In2 0.2500 0.2500 0.7500 1
Ir1 0.2500 0.2500 0.2500 1
```

## Properties
ΔH_f (0 K): 0.023 eV/atom